The following is a PBE calculation of Pm2Y2HoSc after structural relaxation, from Alexandria.

POSCAR file:
```
Pm2Y2HoSc
1.0
7.024 0.000 0.000
0.000 5.570 0.000
0.000 0.000 9.644
Pm Y Ho Sc
4 4 2 2
Cartesian
1.756 0.000 1.432
1.756 2.785 6.595
5.268 0.000 8.212
5.268 2.785 3.050
0.000 0.000 4.822
1.756 2.785 3.303
3.512 0.000 4.822
5.268 2.785 6.341
0.000 2.785 0.000
3.512 2.785 0.000
1.756 0.000 7.918
5.268 0.000 1.726
```

**Space-group type**: Pmma
**Mass density**: 5965 kg/m3
**E_form**: 6.2 kJ per mole of atoms



The following is a PBE calculation of PmY5HoSc2 after structural relaxation, from Alexandria.

POSCAR file:
```
PmY5HoSc2
1.0
2.813 -10.733 0.000
2.813 10.733 0.000
0.000 0.000 9.380
Pm Y Ho Sc
2 10 2 4
Cartesian
2.813 6.787 4.690
2.813 -6.787 0.000
2.813 10.522 4.650
2.813 5.056 7.668
2.813 4.146 1.849
2.813 2.381 4.947
2.813 0.663 2.152
2.813 -0.663 6.842
2.813 -2.381 0.257
2.813 -4.146 6.539
2.813 -5.056 2.978
2.813 -10.522 9.340
2.813 2.097 8.446
2.813 -2.097 3.756
2.813 8.307 7.555
2.813 7.827 1.720
2.813 -7.827 6.410
2.813 -8.307 2.865
```

**Space-group type**: Cmc2_1
**Mass density**: 4952 kg/m3
**E_form**: 16.1 kJ per mole of atoms



The following is a PBE calculation of Pm4Y2HoSc after structural relaxation, from Alexandria.

POSCAR file:
```
Pm4Y2HoSc
1.0
5.075 0.000 0.000
0.000 5.086 0.000
0.000 0.000 9.928
Pm Y Ho Sc
4 2 1 1
Cartesian
0.000 0.000 2.433
0.000 0.000 7.495
2.537 2.543 2.436
2.537 2.543 7.493
0.000 2.543 0.000
2.537 0.000 4.964
0.000 2.543 4.964
2.537 0.000 0.000
```

**Space-group type**: Pmmm
**Mass density**: 6271 kg/m3
**E_form**: 2.9 kJ per mole of atoms



The following is a PBE calculation of Pm2Y6HoSc after structural relaxation, from Alexandria.

POSCAR file:
```
Pm2Y6HoSc
1.0
4.531 -7.415 0.000
4.531 7.415 0.000
-1.593 0.000 9.523
Pm Y Ho Sc
4 12 2 2
Cartesian
2.159 0.726 0.450
1.363 -0.726 5.212
6.106 0.726 4.312
5.310 -0.726 9.073
2.323 4.173 1.810
3.060 4.616 5.303
3.613 4.616 8.981
3.016 1.537 3.661
5.943 4.173 2.951
5.249 1.537 1.100
2.220 -1.537 8.423
1.527 -4.173 6.572
4.453 -1.537 5.862
3.856 -4.616 0.542
4.409 -4.616 4.220
5.146 -4.173 7.713
4.133 7.147 2.381
3.336 -7.147 7.142
3.336 1.340 7.142
4.133 -1.340 2.381
```

**Space-group type**: C2/c
**Mass density**: 5363 kg/m3
**E_form**: 11.5 kJ per mole of atoms